<1>
Here is crystalline Al2CrOs at its relaxed geometry from the Alexandria database. Energies are from PBE.

Lattice parameters (Å, degrees): 4.2110 4.2110 3.1335 90.00 90.00 90.00
Space group P4/mmm (No. 123)
Unique sites:
Al1 0.0000 0.5000 0.0000 [2 per cell]
Cr1 0.0000 0.0000 0.5000 [1 per cell]
Os1 0.5000 0.5000 0.5000 [1 per cell]

Results
N(E_F): 0.4083 states/eV per atom
ρ: 8.85 Mg/m³

<2>
Here is crystalline Al2CrOs at its relaxed geometry from the Alexandria database. Energies are from PBE.

Lattice parameters (Å, degrees): 6.8994 6.8994 5.2928 90.00 90.00 90.00
Space group I-42d (No. 122)
Unique sites:
Al1 0.2399 0.2500 0.1250 [8 per cell]
Cr1 0.0000 0.0000 0.5000 [4 per cell]
Os1 0.0000 0.0000 0.0000 [4 per cell]

Results
N(E_F): 1.0347 states/eV per atom
ρ: 7.81 Mg/m³

<3>
Here is crystalline Al2CrOs at its relaxed geometry from the Alexandria database. Energies are from PBE.

Lattice parameters (Å, degrees): 2.9531 4.5102 8.5612 90.00 90.00 90.00
Space group Cmm2 (No. 35)
Unique sites:
Al1 0.0000 0.0000 0.0000 [2 per cell]
Al2 0.0000 0.5000 0.2755 [2 per cell]
Cr1 0.0000 0.5000 0.7606 [2 per cell]
Os1 0.0000 0.0000 0.5251 [2 per cell]

Results
N(E_F): 0.9632 states/eV per atom
ρ: 8.63 Mg/m³

Of the structures shown above, <2> is the least stable.